(1)
Mg2Pd | GGA-PBE | relaxed

```
data_Mg2Pd
_chemical_formula_sum 'Mg4 Pd2'
_cell_length_a 4.4791
_cell_length_b 4.4791
_cell_length_c 6.0446
_cell_angle_alpha 88.43
_cell_angle_beta 88.43
_cell_angle_gamma 61.47
_space_group_name_H-M_alt 'P 1'
_space_group_IT_number 1
loop_
_space_group_symop_operation_xyz
'x,y,z'
loop_
_atom_site_label
_atom_site_fract_x
_atom_site_fract_y
_atom_site_fract_z
Mg1 0.3313 0.3313 0.3991
Pd1 0.0000 0.0000 0.2500
Mg2 0.6687 0.6687 0.6009
Pd2 0.0000 0.0000 0.7500
Mg3 0.6687 0.6687 0.1009
Mg4 0.3313 0.3313 0.8991
```



(2)
# Mg5Pd3 (GGA-PBE, relaxed)
data_Mg5Pd3
_chemical_formula_sum 'Mg10 Pd6'
_cell_length_a 5.4209
_cell_length_b 7.7829
_cell_length_c 7.7829
_cell_angle_alpha 83.03
_cell_angle_beta 69.62
_cell_angle_gamma 69.62
_space_group_name_H-M_alt 'P 1'
_space_group_IT_number 1
loop_
_space_group_symop_operation_xyz
'x,y,z'
loop_
_atom_site_label
_atom_site_fract_x
_atom_site_fract_y
_atom_site_fract_z
Pd1 0.1645 0.5000 0.1710
Mg1 0.2828 0.1401 0.2943
Mg2 0.7172 0.8599 0.7057
Mg3 0.0771 0.1401 0.7057
Mg4 0.4229 0.2943 0.8599
Mg5 0.7828 0.2943 0.1401
Mg6 0.5771 0.7057 0.1401
Pd2 0.8355 0.5000 0.8290
Pd3 0.3355 0.8290 0.5000
Pd4 0.7500 0.0000 0.0000
Mg7 0.9229 0.8599 0.2943
Pd5 0.2500 0.0000 0.0000
Mg8 0.2500 0.5000 0.5000
Mg9 0.2172 0.7057 0.8599
Pd6 0.6645 0.1710 0.5000
Mg10 0.7500 0.5000 0.5000
# - distance to the lowest polymorph of the same formula (eV/f.u.) = 0.00



(3)
MgPd2 | GGA-PBE | relaxed

```
data_MgPd2
_chemical_formula_sum 'Mg2 Pd4'
_cell_length_a 4.1423
_cell_length_b 4.6996
_cell_length_c 5.5442
_cell_angle_alpha 100.31
_cell_angle_beta 90.00
_cell_angle_gamma 116.15
_space_group_name_H-M_alt 'P 1'
_space_group_IT_number 1
loop_
_space_group_symop_operation_xyz
'x,y,z'
loop_
_atom_site_label
_atom_site_fract_x
_atom_site_fract_y
_atom_site_fract_z
Pd1 0.8283 0.6567 0.6815
Pd2 0.1717 0.3433 0.3185
Pd3 0.5000 0.0000 0.0000
Mg1 0.1557 0.3113 0.8094
Mg2 0.8443 0.6887 0.1906
Pd4 0.5000 0.0000 0.5000
```



(4)
# Mg5Pd3 (GGA-PBE, relaxed)
data_Mg5Pd3
_chemical_formula_sum 'Mg5 Pd3'
_cell_length_a 2.9630
_cell_length_b 7.4004
_cell_length_c 7.4004
_cell_angle_alpha 120.00
_cell_angle_beta 90.00
_cell_angle_gamma 90.00
_space_group_name_H-M_alt 'P 1'
_space_group_IT_number 1
loop_
_space_group_symop_operation_xyz
'x,y,z'
loop_
_atom_site_label
_atom_site_fract_x
_atom_site_fract_y
_atom_site_fract_z
Mg1 0.0000 0.7592 0.7592
Pd1 0.5000 0.6257 0.0000
Mg2 0.0000 0.6667 0.3333
Pd2 0.5000 0.0000 0.6257
Mg3 0.0000 0.2408 0.0000
Pd3 0.5000 0.3743 0.3743
Mg4 0.0000 0.3333 0.6667
Mg5 0.0000 0.0000 0.2408
# - distance to the lowest polymorph of the same formula (eV/f.u.) = 0.04



| no. | uncorrected energy (eV per formula unit) |
| --- | --- |
| 1 | -9.728 |
| 2 | -28.029 |
| 3 | -13.747 |
| 4 | -27.987 |